No. 1
A plane-wave DFT calculation with GGA-PBE was carried out for Ba3ErNp2O9 after structural relaxation.

Lattice parameters (Å, degrees): 6.2043 6.2043 7.6116 90.00 90.00 120.00
With the nearest neighbours (Å) after each atom.
Fractional positions:
1 O 0.0000 0.5000 0.0000  2 Np 2.20
2 Np 0.3333 0.6667 0.1679  6 O 2.15-2.20
3 O 0.5000 0.5000 0.0000  2 Np 2.20
4 O 0.3390 0.1695 0.6694  1 Np 2.15, 1 Er 2.23
5 O 0.8305 0.1695 0.6694  1 Np 2.15, 1 Er 2.23
6 Er 0.0000 0.0000 0.5000  6 O 2.23
7 O 0.1695 0.3390 0.3306  1 Np 2.15, 1 Er 2.23
8 O 0.8305 0.6610 0.6694  1 Np 2.15, 1 Er 2.23
9 Ba 0.6667 0.3333 0.3422  12 O 3.05-3.16
10 Np 0.6667 0.3333 0.8321  6 O 2.15-2.20
11 O 0.5000 0.0000 0.0000  2 Np 2.20
12 O 0.6610 0.8305 0.3306  1 Np 2.15, 1 Er 2.23
13 O 0.1695 0.8305 0.3306  1 Np 2.15, 1 Er 2.23
14 Ba 0.3333 0.6667 0.6578  12 O 3.05-3.16
15 Ba 0.0000 0.0000 0.0000  12 O 3.10-3.11

---

No. 2
A plane-wave DFT calculation with GGA-PBE was carried out for Ba2ErNp3O12 after structural relaxation.

Lattice parameters (Å, degrees): 7.8041 7.8041 7.8041 62.46 62.46 62.46
With the nearest neighbours (Å) after each atom.
Fractional positions:
1 Np 0.0000 0.0000 0.5000  6 O 2.00-2.15
2 Er 0.0000 0.0000 0.0000  6 O 2.25
3 O 0.3131 0.9580 0.3131  2 Np 2.15
4 O 0.6869 0.6869 0.0420  2 Np 2.15
5 Np 0.5000 0.0000 0.0000  6 O 2.00-2.15
6 O 0.6635 0.0747 0.0747  1 Np 2.00
7 O 0.9580 0.3131 0.3131  2 Np 2.15
8 O 0.3365 0.9253 0.9253  1 Np 2.00
9 Np 0.0000 0.5000 0.0000  6 O 2.00-2.15
10 O 0.3131 0.3131 0.9580  2 Np 2.15
11 O 0.0747 0.6635 0.0747  1 Np 2.00
12 O 0.0420 0.6869 0.6869  2 Np 2.15
13 O 0.9253 0.3365 0.9253  1 Np 2.00
14 Ba 0.6866 0.6866 0.6866  6 O 2.78-2.86
15 O 0.9253 0.9253 0.3365  1 Np 2.00
16 O 0.6869 0.0420 0.6869  2 Np 2.15
17 Ba 0.3134 0.3134 0.3134  6 O 2.78-2.86
18 O 0.0747 0.0747 0.6635  1 Np 2.00

---

For each record above, in turn, the calculated uncorrected formation energy values are -3.08, -2.96 eV per atom.
For each record above, in turn, the calculated energy values are -127.0, -159.9 eV/f.u..